No. 1
First-principles (GGA-PBE) data for crystalline TaCuAg3 at its relaxed geometry, as listed in Alexandria.

- Space-group type: No. 221
- Total magnetic moment: 2.275 Bohr magnetons per cell
- Calculated formation energy: 5.93 eV per formula unit

Lattice parameters (Å, degrees): 4.6688 4.6688 4.6688 90.00 90.00 90.00
Last column: nearest neighbours and their distance in Å.
Fractional positions:
Ta: 0.0000 0.0000 0.0000  12 Ag 3.30
Cu: 0.5000 0.5000 0.5000  6 Ag 2.33
Ag: 0.0000 0.5000 0.5000  2 Cu 2.33
Ag: 0.5000 0.0000 0.5000  2 Cu 2.33
Ag: 0.5000 0.5000 0.0000  2 Cu 2.33

No. 2
First-principles (GGA-PBE) data for crystalline TaCu2Ag at its relaxed geometry, as listed in Alexandria.

- Space-group type: No. 44
- Total magnetic moment: 0.000 Bohr magnetons per cell
- Calculated formation energy: 1.08 eV per formula unit

Lattice parameters (Å, degrees): 5.4156 5.4156 5.4156 150.24 129.59 59.64
Last column: nearest neighbours and their distance in Å.
Fractional positions:
Ta: 0.0000 0.0000 0.0000  6 Cu 2.71-2.73, 2 Ta 2.78, 2 Ag 2.99
Cu: 0.5342 0.5342 0.0000  2 Cu 2.46, 4 Ta 2.71, 2 Ag 2.75
Cu: 0.7505 0.2505 0.5000  2 Cu 2.46, 4 Ag 2.71, 2 Ta 2.73
Ag: 0.2815 0.7815 0.5000  6 Cu 2.71-2.75, 2 Ag 2.78, 2 Ta 2.99

No. 3
First-principles (GGA-PBE) data for crystalline TaCu2Ag at its relaxed geometry, as listed in Alexandria.

- Space-group type: No. 99
- Total magnetic moment: 0.000 Bohr magnetons per cell
- Calculated formation energy: 0.65 eV per formula unit

Lattice parameters (Å, degrees): 2.7911 2.7911 7.7013 90.00 90.00 90.00
Last column: nearest neighbours and their distance in Å.
Fractional positions:
Ta: 0.0000 0.0000 0.0000  4 Cu 2.75, 4 Ta 2.79, 4 Ag 3.01
Cu: 0.0000 0.0000 0.5474  8 Cu 2.53-2.79, 4 Ag 2.77
Cu: 0.5000 0.5000 0.7522  8 Cu 2.53-2.79, 4 Ta 2.75
Ag: 0.5000 0.5000 0.2951  4 Cu 2.77, 4 Ag 2.79, 4 Ta 3.01

No. 4
First-principles (GGA-PBE) data for crystalline TaCu2Ag at its relaxed geometry, as listed in Alexandria.

- Space-group type: No. 12
- Total magnetic moment: 0.000 Bohr magnetons per cell
- Calculated formation energy: 1.12 eV per formula unit

Lattice parameters (Å, degrees): 4.6032 4.6032 5.2318 96.81 96.81 33.99
Last column: nearest neighbours and their distance in Å.
Fractional positions:
Ta: 0.0000 0.0000 0.0000  6 Cu 2.66-2.73, 2 Ta 2.69, 4 Ag 2.94
Cu: 0.2510 0.2510 0.7634  3 Ta 2.66-2.73, 4 Cu 2.69-2.82, 3 Ag 2.73-2.80
Cu: 0.7490 0.7490 0.2366  3 Ta 2.66-2.73, 4 Cu 2.69-2.82, 3 Ag 2.73-2.80
Ag: 0.5000 0.5000 0.5000  2 Ag 2.69, 6 Cu 2.73-2.80, 4 Ta 2.94

No. 5
First-principles (GGA-PBE) data for crystalline TaCuAg at its relaxed geometry, as listed in Alexandria.

- Space-group type: No. 129
- Total magnetic moment: 0.000 Bohr magnetons per cell
- Calculated formation energy: 0.22 eV per formula unit

Lattice parameters (Å, degrees): 2.8074 2.8074 12.3103 90.00 90.00 90.00
Last column: nearest neighbours and their distance in Å.
Fractional positions:
Ta: 0.2500 0.2500 0.0930  4 Cu 2.79, 8 Ta 2.81-3.03
Ta: 0.7500 0.7500 0.9070  4 Cu 2.79, 8 Ta 2.81-3.03
Cu: 0.2500 0.2500 0.7478  4 Ag 2.77, 4 Ta 2.79, 4 Cu 2.81
Cu: 0.7500 0.7500 0.2522  4 Ag 2.77, 4 Ta 2.79, 4 Cu 2.81
Ag: 0.2500 0.2500 0.4091  4 Cu 2.77, 8 Ag 2.81-2.99
Ag: 0.7500 0.7500 0.5909  4 Cu 2.77, 8 Ag 2.81-2.99

No. 6
First-principles (GGA-PBE) data for crystalline TaCuAg3 at its relaxed geometry, as listed in Alexandria.

- Space-group type: No. 221
- Total magnetic moment: 0.000 Bohr magnetons per cell
- Calculated formation energy: 8.64 eV per formula unit

Lattice parameters (Å, degrees): 5.1588 5.1588 5.1588 90.00 90.00 90.00
Last column: nearest neighbours and their distance in Å.
Fractional positions:
Ta: 0.0000 0.0000 0.0000  6 Ag 2.58
Cu: 0.5000 0.5000 0.5000  12 Ag 3.65
Ag: 0.0000 0.0000 0.5000  2 Ta 2.58
Ag: 0.0000 0.5000 0.0000  2 Ta 2.58
Ag: 0.5000 0.0000 0.0000  2 Ta 2.58